# 1
{"formula": "PmSm6Er2", "functional": "PBE-GGA", "state": "optimized geometry", "lattice_angstrom": [[6.570, -3.793, 0.000], [6.570, 3.793, 0.000], [0.000, 0.000, 6.067]], "species": ["Pm", "Sm", "Sm", "Sm", "Sm", "Sm", "Sm", "Er", "Er"], "fractional_positions": [[0.000, 0.000, 0.000], [0.188, 0.188, 0.716], [0.188, 0.622, 0.713], [0.378, 0.812, 0.287], [0.622, 0.188, 0.713], [0.812, 0.378, 0.287], [0.812, 0.812, 0.284], [0.333, 0.333, 0.221], [0.667, 0.667, 0.779]], "m_tot_mub_per_atom": 0.0892, "e_form_ev_per_atom": 0.207}

# 2
{"formula": "AlTe2Cl", "functional": "PBE-GGA", "state": "optimized geometry", "lattice_angstrom": [[5.024, 0.000, 0.000], [0.000, 5.024, 0.000], [0.000, 0.000, 3.852]], "species": ["Al", "Te", "Te", "Cl"], "fractional_positions": [[0.000, 0.000, 0.000], [0.000, 0.500, 0.500], [0.500, 0.000, 0.500], [0.500, 0.500, 0.000]], "e_form_raw_mev_per_atom": 261, "m_tot_mub_per_atom": 0.0000}

# 3
{"formula": "Er2ThCd6", "functional": "PBE-GGA", "state": "optimized geometry", "lattice_angstrom": [[8.692, 0.000, 0.000], [-4.346, 7.528, 0.000], [0.000, 0.000, 3.398]], "species": ["Er", "Er", "Th", "Cd", "Cd", "Cd", "Cd", "Cd", "Cd"], "fractional_positions": [[0.333, 0.667, 0.000], [0.667, 0.333, 0.000], [0.000, 0.000, 0.000], [0.000, 0.338, 0.500], [0.000, 0.662, 0.500], [0.338, 0.000, 0.500], [0.338, 0.338, 0.500], [0.662, 0.000, 0.500], [0.662, 0.662, 0.500]], "m_tot_mub_per_atom": 0.0000, "e_form_ev_per_atom": -0.260}

# 4
{"formula": "LiZn6Cu10", "functional": "PBE-GGA", "state": "optimized geometry", "lattice_angstrom": [[7.154, 0.000, 0.000], [-3.577, 6.196, 0.000], [0.000, 0.000, 5.069]], "species": ["Li", "Zn", "Zn", "Zn", "Zn", "Zn", "Zn", "Cu", "Cu", "Cu", "Cu", "Cu", "Cu", "Cu", "Cu", "Cu", "Cu"], "fractional_positions": [[0.000, 0.000, 0.000], [0.000, 0.347, 0.828], [0.000, 0.653, 0.172], [0.347, 0.000, 0.828], [0.347, 0.347, 0.172], [0.653, 0.000, 0.172], [0.653, 0.653, 0.828], [0.000, 0.312, 0.342], [0.000, 0.688, 0.658], [0.312, 0.000, 0.342], [0.312, 0.312, 0.658], [0.333, 0.667, 0.000], [0.333, 0.667, 0.500], [0.667, 0.333, 0.000], [0.667, 0.333, 0.500], [0.688, 0.000, 0.658], [0.688, 0.688, 0.342]], "m_tot_mub_per_atom": 0.0000, "e_form_ev_per_atom": -0.028}

# 5
{"formula": "ReC4", "functional": "PBE-GGA", "state": "optimized geometry", "lattice_angstrom": [[4.023, 0.000, 0.000], [0.000, 4.023, 0.000], [0.000, 0.000, 4.023]], "species": ["Re", "C", "C", "C", "C"], "fractional_positions": [[0.000, 0.000, 0.000], [0.000, 0.000, 0.500], [0.000, 0.500, 0.000], [0.500, 0.000, 0.000], [0.500, 0.500, 0.500]], "m_tot_mub_per_atom": 0.1222, "e_form_ev_per_atom": 3.101}

# 6
{"formula": "Tb3YN", "functional": "PBE-GGA", "state": "optimized geometry", "lattice_angstrom": [[4.991, 0.000, 0.000], [0.000, 4.991, 0.000], [0.000, 0.000, 4.991]], "species": ["Tb", "Tb", "Tb", "Y", "N"], "fractional_positions": [[0.000, 0.000, 0.500], [0.000, 0.500, 0.000], [0.500, 0.000, 0.000], [0.500, 0.500, 0.500], [0.000, 0.000, 0.000]], "e_form_raw_mev_per_atom": -519, "m_tot_mub_per_atom": 0.0003}

# 7
{"formula": "CaZn2Ga4", "functional": "PBE-GGA", "state": "optimized geometry", "lattice_angstrom": [[9.653, 0.000, 0.000], [0.000, 6.635, 0.000], [-2.354, 0.000, 4.185]], "species": ["Ca", "Ca", "Zn", "Zn", "Zn", "Zn", "Ga", "Ga", "Ga", "Ga", "Ga", "Ga", "Ga", "Ga"], "fractional_positions": [[0.000, 0.000, 0.000], [0.500, 0.500, 0.000], [0.038, 0.500, 0.790], [0.462, 0.000, 0.210], [0.538, 0.000, 0.790], [0.962, 0.500, 0.210], [0.198, 0.196, 0.691], [0.198, 0.804, 0.691], [0.302, 0.304, 0.309], [0.302, 0.696, 0.309], [0.698, 0.304, 0.691], [0.698, 0.696, 0.691], [0.802, 0.196, 0.309], [0.802, 0.804, 0.309]], "m_tot_mub_per_atom": 0.0000, "e_form_ev_per_atom": -0.208}

# 8
{"formula": "Zn2RhBr", "functional": "PBE-GGA", "state": "optimized geometry", "lattice_angstrom": [[2.980, 0.000, 0.000], [0.000, 4.408, 0.000], [0.000, 0.000, 10.970]], "species": ["Zn", "Zn", "Zn", "Zn", "Rh", "Rh", "Br", "Br"], "fractional_positions": [[0.000, 0.000, 0.203], [0.000, 0.000, 0.797], [0.500, 0.500, 0.297], [0.500, 0.500, 0.703], [0.000, 0.500, 0.500], [0.500, 0.000, 0.000], [0.000, 0.500, 0.000], [0.500, 0.000, 0.500]], "e_form_raw_mev_per_atom": 170, "m_tot_mub_per_atom": 0.0000}

# 9
{"formula": "HgMo2Pt", "functional": "PBE-GGA", "state": "optimized geometry", "lattice_angstrom": [[2.779, 0.000, 0.000], [0.000, 2.779, 0.000], [0.000, 0.000, 8.640]], "species": ["Hg", "Mo", "Mo", "Pt"], "fractional_positions": [[0.000, 0.000, 0.000], [0.500, 0.500, 0.264], [0.500, 0.500, 0.736], [0.000, 0.000, 0.500]], "m_tot_mub_per_atom": 0.0000, "e_form_ev_per_atom": 0.187}

# 10
{"formula": "CuTeIrRu2", "functional": "PBE-GGA", "state": "optimized geometry", "lattice_angstrom": [[4.468, 0.000, 0.000], [0.000, 4.468, 0.000], [0.000, 0.000, 4.611]], "species": ["Cu", "Te", "Ir", "Ru", "Ru"], "fractional_positions": [[0.000, 0.000, 0.000], [0.000, 0.000, 0.500], [0.500, 0.500, 0.500], [0.000, 0.500, 0.000], [0.500, 0.000, 0.000]], "e_form_raw_mev_per_atom": 1679, "m_tot_mub_per_atom": 0.0000}

# 11
{"formula": "Mg2GaAu", "functional": "PBE-GGA", "state": "optimized geometry", "lattice_angstrom": [[7.558, 0.000, 0.000], [0.000, 7.558, 0.000], [0.000, 0.000, 5.929]], "species": ["Mg", "Mg", "Mg", "Mg", "Mg", "Mg", "Mg", "Mg", "Ga", "Ga", "Ga", "Ga", "Au", "Au", "Au", "Au"], "fractional_positions": [[0.234, 0.750, 0.125], [0.250, 0.234, 0.875], [0.250, 0.266, 0.375], [0.266, 0.750, 0.625], [0.734, 0.250, 0.625], [0.750, 0.734, 0.375], [0.750, 0.766, 0.875], [0.766, 0.250, 0.125], [0.000, 0.000, 0.500], [0.000, 0.500, 0.750], [0.500, 0.000, 0.250], [0.500, 0.500, 0.000], [0.000, 0.000, 0.000], [0.000, 0.500, 0.250], [0.500, 0.000, 0.750], [0.500, 0.500, 0.500]], "m_tot_mub_per_atom": 0.0000, "e_form_ev_per_atom": -0.119}

# 12
{"formula": "TaPdSN2", "functional": "PBE-GGA", "state": "optimized geometry", "lattice_angstrom": [[3.919, 0.000, 0.000], [0.000, 3.919, 0.000], [0.000, 0.000, 4.499]], "species": ["Ta", "Pd", "S", "N", "N"], "fractional_positions": [[0.000, 0.000, 0.000], [0.500, 0.500, 0.500], [0.500, 0.500, 0.000], [0.000, 0.500, 0.500], [0.500, 0.000, 0.500]], "e_form_raw_mev_per_atom": 1459, "m_tot_mub_per_atom": 0.0010}